No. 1
Material: Mg4InHPb
Method: DFT, GGA-PBE
State: optimized geometry

Unit cell a=8.151 b=8.151 c=6.262 alpha=90.00 beta=90.00 gamma=134.39
Fractional coordinates of all 14 atoms:
Mg: 0.000 0.500 0.000
Mg: 0.000 0.500 0.500
Mg: 0.085 0.915 0.750
Mg: 0.407 0.593 0.750
Mg: 0.500 0.000 0.000
Mg: 0.500 0.000 0.500
Mg: 0.593 0.407 0.250
Mg: 0.915 0.085 0.250
In: 0.109 0.891 0.250
In: 0.891 0.109 0.750
H: 0.262 0.738 0.750
H: 0.738 0.262 0.250
Pb: 0.394 0.606 0.250
Pb: 0.606 0.394 0.750

Properties
* E: -2.332 eV/atom

No. 2
Material: RbHgI3
Method: DFT, GGA-PBE
State: optimized geometry

Unit cell a=8.901 b=8.781 c=14.312 alpha=90.00 beta=119.80 gamma=90.00
Fractional coordinates of all 20 atoms:
Rb: 0.148 0.101 0.214
Rb: 0.148 0.399 0.714
Rb: 0.852 0.601 0.286
Rb: 0.852 0.899 0.786
Hg: 0.258 0.565 0.075
Hg: 0.258 0.935 0.575
Hg: 0.742 0.065 0.425
Hg: 0.742 0.435 0.925
I: 0.056 0.227 0.442
I: 0.056 0.273 0.942
I: 0.306 0.715 0.925
I: 0.306 0.785 0.425
I: 0.438 0.050 0.780
I: 0.438 0.450 0.280
I: 0.562 0.550 0.720
I: 0.562 0.950 0.220
I: 0.694 0.215 0.575
I: 0.694 0.285 0.075
I: 0.944 0.727 0.058
I: 0.944 0.773 0.558

Properties
* energy above the lowest structure with this stoichiometry: 0 meV per atom
* formation energy from raw total energies: -0.785 eV per atom

No. 3
Material: Rb2VOs2
Method: DFT, GGA-PBE
State: optimized geometry

Unit cell a=9.893 b=9.893 c=2.682 alpha=90.00 beta=90.00 gamma=90.00
Fractional coordinates of all 10 atoms:
Rb: 0.114 0.386 0.000
Rb: 0.386 0.886 0.000
Rb: 0.614 0.114 0.000
Rb: 0.886 0.614 0.000
V: 0.000 0.000 0.000
V: 0.500 0.500 0.000
Os: 0.188 0.688 0.500
Os: 0.312 0.188 0.500
Os: 0.688 0.812 0.500
Os: 0.812 0.312 0.500

Properties
* energy above the lowest structure with this stoichiometry: 978 meV per atom
* E_form: 2.34 eV per atom

No. 4
Material: La4NdDy3
Method: DFT, GGA-PBE
State: optimized geometry

Unit cell a=9.061 b=9.061 c=9.061 alpha=157.52 beta=98.53 gamma=85.85
Fractional coordinates of all 8 atoms:
La: 0.117 0.867 0.250
La: 0.383 0.133 0.250
La: 0.617 0.867 0.750
La: 0.883 0.133 0.750
Nd: 0.000 0.000 0.000
Dy: 0.238 0.738 0.500
Dy: 0.500 0.500 0.000
Dy: 0.762 0.262 0.500

Properties
* energy above the lowest structure with this stoichiometry: 81 meV per atom
* E_form: 0.11 eV per atom

No. 5
Material: Pm3SiBi
Method: DFT, GGA-PBE
State: optimized geometry

Unit cell a=5.506 b=5.506 c=5.506 alpha=90.00 beta=90.00 gamma=90.00
Fractional coordinates of all 5 atoms:
Pm: 0.000 0.000 0.500
Pm: 0.000 0.500 0.000
Pm: 0.500 0.000 0.000
Si: 0.000 0.000 0.000
Bi: 0.500 0.500 0.500

Properties
* energy above the lowest structure with this stoichiometry: 38 meV per atom
* formation energy from raw total energies: -0.405 eV per atom

No. 6
Material: TeO
Method: DFT, GGA-PBE
State: optimized geometry

Unit cell a=4.208 b=4.609 c=4.842 alpha=92.54 beta=92.74 gamma=114.31
Fractional coordinates of all 4 atoms:
Te: 0.000 0.000 0.000
Te: 0.442 0.721 0.565
O: 0.270 0.283 0.645
O: 0.722 0.648 0.279

Properties
* energy above the lowest structure with this stoichiometry: 0 meV per atom
* formation energy from raw total energies: -0.542 eV per atom

No. 7
Material: PrPu3Tc2
Method: DFT, GGA-PBE
State: optimized geometry

Unit cell a=6.897 b=6.897 c=5.768 alpha=90.10 beta=90.10 gamma=106.03
Fractional coordinates of all 12 atoms:
Pr: 0.134 0.134 0.251
Pr: 0.866 0.866 0.749
Pu: 0.087 0.422 0.750
Pu: 0.422 0.087 0.750
Pu: 0.462 0.462 0.750
Pu: 0.538 0.538 0.250
Pu: 0.578 0.913 0.250
Pu: 0.913 0.578 0.250
Tc: 0.243 0.757 0.000
Tc: 0.243 0.757 0.500
Tc: 0.757 0.243 0.000
Tc: 0.757 0.243 0.500

Properties
* E_form: 0.06 eV per atom

No. 8
Material: Tl2InReO6
Method: DFT, GGA-PBE
State: optimized geometry

Unit cell a=10.290 b=10.290 c=10.290 alpha=34.40 beta=34.40 gamma=34.40
Fractional coordinates of all 20 atoms:
Tl: 0.132 0.132 0.132
Tl: 0.269 0.269 0.269
Tl: 0.731 0.731 0.731
Tl: 0.868 0.868 0.868
In: 0.399 0.399 0.399
In: 0.601 0.601 0.601
Re: 0.000 0.000 0.000
Re: 0.500 0.500 0.500
O: 0.171 0.605 0.605
O: 0.185 0.185 0.743
O: 0.185 0.743 0.185
O: 0.257 0.815 0.815
O: 0.395 0.395 0.829
O: 0.395 0.829 0.395
O: 0.605 0.171 0.605
O: 0.605 0.605 0.171
O: 0.743 0.185 0.185
O: 0.815 0.257 0.815
O: 0.815 0.815 0.257
O: 0.829 0.395 0.395

Properties
* formation energy from raw total energies: -1.217 eV per atom

No. 9
Material: Ho2GeBr
Method: DFT, GGA-PBE
State: optimized geometry

Unit cell a=4.180 b=7.277 c=7.851 alpha=106.72 beta=90.17 gamma=90.00
Fractional coordinates of all 8 atoms:
Ho: 0.000 0.000 0.000
Ho: 0.002 0.785 0.381
Ho: 0.434 0.500 0.000
Ho: 0.436 0.285 0.382
Ge: 0.496 0.893 0.191
Ge: 0.940 0.393 0.191
Br: 0.217 0.643 0.691
Br: 0.219 0.143 0.691

Properties
* energy above the lowest structure with this stoichiometry: 90 meV per atom
* formation energy from raw total energies: -0.961 eV per atom

No. 10
Material: Ti4Zn
Method: DFT, GGA-PBE
State: optimized geometry

Unit cell a=10.186 b=10.186 c=10.186 alpha=163.71 beta=163.71 gamma=23.12
Fractional coordinates of all 5 atoms:
Ti: 0.097 0.097 0.000
Ti: 0.302 0.302 0.000
Ti: 0.698 0.698 0.000
Ti: 0.903 0.903 0.000
Zn: 0.500 0.500 0.000

Properties
* energy above the lowest structure with this stoichiometry: 0 meV per atom
* E_form: -0.07 eV per atom

No. 11
Material: KTi2In2
Method: DFT, GGA-PBE
State: optimized geometry

Unit cell a=8.885 b=8.885 c=2.985 alpha=90.00 beta=90.00 gamma=90.00
Fractional coordinates of all 10 atoms:
K: 0.000 0.000 0.000
K: 0.500 0.500 0.000
Ti: 0.109 0.391 0.000
Ti: 0.391 0.891 0.000
Ti: 0.609 0.109 0.000
Ti: 0.891 0.609 0.000
In: 0.180 0.680 0.500
In: 0.320 0.180 0.500
In: 0.680 0.820 0.500
In: 0.820 0.320 0.500

Properties
* energy above the lowest structure with this stoichiometry: 0 meV per atom
* E_form: 0.08 eV per atom

No. 12
Material: ZnAgMo2
Method: DFT, GGA-PBE
State: optimized geometry

Unit cell a=5.203 b=5.203 c=5.203 alpha=137.78 beta=137.78 gamma=61.23
Fractional coordinates of all 4 atoms:
Zn: 0.000 0.000 0.000
Ag: 0.500 0.500 0.000
Mo: 0.250 0.750 0.500
Mo: 0.750 0.250 0.500

Properties
* E_form: 0.29 eV per atom

no.,calculated volume (Å³ per cell)
1,297.3
2,970.8
3,262.5
4,277.1
5,166.9
6,85.3
7,263.7
8,310.3
9,228.7
10,83.1
11,235.6
12,62.9